Material: Mg2NiPd
Method: DFT, PBE
State: optimized geometry

Results
E ... -15.89 eV/cell
Space group ... P4/mmm, No. 123
V ... 15.22 Å³/atom

Cell lengths 3.249, 4.328, 4.328 Å; angles 90.00, 90.00, 90.00 degrees
Positions (direct):
Ni 0.500 0.000 0.000
Mg 0.000 0.000 0.500
Mg 0.000 0.500 0.000
Pd 0.500 0.500 0.500